# 1
VASP calculation (PBE) on Rb2ZrAuI6 after structural relaxation.

Computed properties:
calculated density: 4551 kg/m3
ΔE_f (raw): -19.75 kcal/mol of atoms
volume: 890.6 Å³ per cell

Structure (CIF):
```
data_Rb2ZrAuI6
_chemical_formula_sum 'Rb4 Zr2 Au2 I12'
_cell_length_a 8.793
_cell_length_b 8.793
_cell_length_c 11.520
_cell_angle_alpha 90.00
_cell_angle_beta 90.00
_cell_angle_gamma 90.00
_space_group_name_H-M_alt 'I 4/m m m'
_space_group_IT_number 139
_space_group_name_Hall '-I 4 2'
loop_
_atom_site_label
_atom_site_type_symbol
_atom_site_fract_x
_atom_site_fract_y
_atom_site_fract_z
Rb1 Rb 0.000 0.500 0.250
Zr1 Zr 0.000 0.000 0.000
Au1 Au 0.000 0.000 0.500
I1 I 0.000 0.000 0.256
I2 I 0.233 0.233 0.000
```

=====

# 2
VASP calculation (PBE) on Sr2BPN after structural relaxation.

Computed properties:
calculated density: 4093 kg/m3
ΔE_f (raw): -18.58 kcal/mol of atoms
volume: 187.5 Å³ per cell

Structure (CIF):
```
data_Sr2BPN
_chemical_formula_sum 'Sr4 B2 P2 N2'
_cell_length_a 6.271
_cell_length_b 3.647
_cell_length_c 8.717
_cell_angle_alpha 90.00
_cell_angle_beta 109.91
_cell_angle_gamma 90.00
_space_group_name_H-M_alt 'P 1 21/m 1'
_space_group_IT_number 11
_space_group_name_Hall '-P 2yb'
loop_
_atom_site_label
_atom_site_type_symbol
_atom_site_fract_x
_atom_site_fract_y
_atom_site_fract_z
Sr1 Sr 0.215 0.250 0.395
Sr2 Sr 0.225 0.250 0.965
B1 B 0.443 0.750 0.240
P1 P 0.360 0.750 0.711
N1 N 0.202 0.750 0.175
```